Record 1
A PBEsol-optimized structure of MnCu2Ru, computed with SCAN.

POSCAR file:
```
MnCu2Ru
1.0
-1.760 -1.044 -1.423
-1.618 -1.950 3.431
-2.310 3.900 1.127
Cu Mn Ru
2 1 1
Direct
0.699 0.000 0.754
0.301 0.000 0.246
0.500 0.500 0.000
0.000 0.500 0.500
```

Properties
Volume ... 49 Å³ per cell
Total DFT energy (no corrections) ... -20.7446 eV per atom
Energy of formation from the pure elements ... 0.13 eV/atom



Record 2
A PBEsol-optimized structure of MnCu2Sn3S8, computed with SCAN.

POSCAR file:
```
MnCu2Sn3S8
1.0
-0.140 6.978 1.924
-3.538 4.834 -4.065
-6.134 2.998 2.408
Mn Cu Sn S
1 2 3 8
Direct
0.000 0.000 0.000
0.380 0.380 0.380
0.620 0.620 0.620
0.000 0.500 0.000
0.000 0.000 0.500
0.500 0.000 0.000
0.772 0.230 0.772
0.747 0.747 0.747
0.770 0.228 0.228
0.228 0.228 0.770
0.228 0.770 0.228
0.253 0.253 0.253
0.230 0.772 0.772
0.772 0.772 0.230
```

Properties
Volume ... 267 Å³ per cell
Total DFT energy (no corrections) ... -17.1426 eV per atom
Raw formation energy ... -6.6 eV/f.u.



Record 3
A PBEsol-optimized structure of MnCu2TeS, computed with SCAN.

POSCAR file:
```
MnCu2TeS
1.0
4.657 0.000 0.000
0.000 4.657 0.000
0.000 0.000 5.245
Mn S Te Cu
1 1 1 2
Direct
0.000 0.000 0.500
0.500 0.500 0.500
0.000 0.000 0.000
0.000 0.500 0.000
0.500 0.000 0.000
```

Properties
Volume ... 114 Å³ per cell
Total DFT energy (no corrections) ... -18.6271 eV per atom
Raw formation energy ... 2.4 eV/f.u.



Record 4
A PBEsol-optimized structure of MnCuSb2, computed with SCAN.

POSCAR file:
```
MnCuSb2
1.0
4.705 0.000 0.000
2.352 4.075 0.000
2.352 1.358 3.842
Cu Mn Sb
1 1 2
Direct
0.000 0.000 0.000
0.500 0.500 0.500
0.250 0.250 0.250
0.750 0.750 0.750
```

Properties
Volume ... 74 Å³ per cell
Total DFT energy (no corrections) ... -26.7261 eV per atom
Raw formation energy ... 1.1 eV/f.u.



Record 5
A PBEsol-optimized structure of MnCuSb2, computed with SCAN.

POSCAR file:
```
MnCuSb2
1.0
-2.751 -0.840 2.268
1.812 -3.408 0.936
3.724 2.680 2.552
Sb Mn Cu
2 1 1
Direct
0.987 0.125 0.973
0.269 0.625 0.538
0.703 0.125 0.406
0.542 0.625 0.084
```

Properties
Volume ... 72 Å³ per cell
Total DFT energy (no corrections) ... -27.0108 eV per atom
Raw formation energy ... -0.1 eV/f.u.



Record 6
A PBEsol-optimized structure of ScMnCu, computed with SCAN.

POSCAR file:
```
ScMnCu
1.0
3.071 0.000 0.000
0.000 4.199 0.000
0.000 -2.100 3.637
Cu Mn Sc
1 1 1
Direct
0.836 0.000 0.000
0.831 0.333 0.667
0.333 0.667 0.333
```

Properties
Volume ... 47 Å³ per cell
Total DFT energy (no corrections) ... -16.0153 eV per atom
Energy of formation from the pure elements ... -0.12 eV/atom



Record 7
A PBEsol-optimized structure of Sc2MnCu, computed with SCAN.

POSCAR file:
```
Sc2MnCu
1.0
-0.478 -0.274 -3.089
1.466 -2.774 0.019
-5.664 -2.986 1.141
Sc Mn Cu
2 1 1
Direct
0.000 0.000 0.740
0.000 0.000 0.260
0.500 0.500 0.500
0.500 0.500 0.000
```

Properties
Volume ... 64 Å³ per cell
Total DFT energy (no corrections) ... -15.6353 eV per atom
Energy of formation from the pure elements ... -0.15 eV/atom



Record 8
A PBEsol-optimized structure of ScMn2Cu, computed with SCAN.

POSCAR file:
```
ScMn2Cu
1.0
-0.164 -0.583 -2.749
-0.299 -2.664 -0.859
-8.269 -0.272 -0.890
Cu Mn Sc
1 2 1
Direct
0.257 0.257 0.229
0.004 0.004 0.987
0.741 0.741 0.776
0.497 0.497 0.508
```

Properties
Volume ... 56 Å³ per cell
Total DFT energy (no corrections) ... -16.3181 eV per atom
Energy of formation from the pure elements ... 0.17 eV/atom



Record 9
A PBEsol-optimized structure of Mn2CuSe, computed with SCAN.

POSCAR file:
```
Mn2CuSe
1.0
2.874 0.000 0.000
0.000 2.874 0.000
0.000 0.000 6.387
Cu Mn Se
1 2 1
Direct
0.500 0.500 0.773
0.000 0.000 0.011
0.500 0.500 0.256
0.000 0.000 0.459
```

Properties
Volume ... 53 Å³ per cell
Total DFT energy (no corrections) ... -17.8676 eV per atom
Raw formation energy ... 0.3 eV/f.u.



Record 10
A PBEsol-optimized structure of Mn2CuSe, computed with SCAN.

POSCAR file:
```
Mn2CuSe
1.0
3.043 0.000 0.000
0.000 4.257 0.001
0.000 -0.928 4.155
Cu Mn Se
1 2 1
Direct
0.500 0.000 0.000
0.000 0.000 0.500
0.000 0.500 0.000
0.500 0.500 0.500
```

Properties
Volume ... 54 Å³ per cell
Total DFT energy (no corrections) ... -18.0006 eV per atom
Raw formation energy ... -0.2 eV/f.u.



Record 11
A PBEsol-optimized structure of MnCuSe2, computed with SCAN.

POSCAR file:
```
MnCuSe2
1.0
3.900 0.003 -0.042
-0.887 6.464 -0.006
-1.076 -2.950 5.997
Mn Se Cu
2 4 2
Direct
0.383 0.325 0.188
0.804 0.549 0.716
0.193 0.304 0.513
0.828 0.368 0.978
0.258 0.886 0.030
0.710 0.745 0.471
0.227 0.910 0.401
0.718 0.968 0.860
```

Properties
Volume ... 151 Å³ per cell
Total DFT energy (no corrections) ... -18.9144 eV per atom
Raw formation energy ... -2.0 eV/f.u.



Record 12
A PBEsol-optimized structure of MnCuSe2, computed with SCAN.

POSCAR file:
```
MnCuSe2
1.0
-1.362 0.647 3.004
-2.749 -1.860 -0.846
4.613 -4.168 1.108
Cu Mn Se
1 1 2
Direct
0.529 0.529 0.059
0.301 0.801 0.601
0.961 0.961 0.922
0.709 0.209 0.419
```

Properties
Volume ... 67 Å³ per cell
Total DFT energy (no corrections) ... -18.6914 eV per atom
Raw formation energy ... -1.2 eV/f.u.



Record 13
A PBEsol-optimized structure of Mn2CuSe, computed with SCAN.

POSCAR file:
```
Mn2CuSe
1.0
3.738 0.000 0.000
0.000 3.738 0.000
-1.869 -1.869 3.714
Cu Mn Se
1 2 1
Direct
0.000 0.000 0.000
0.750 0.250 0.500
0.250 0.750 0.500
0.500 0.500 0.000
```

Properties
Volume ... 52 Å³ per cell
Total DFT energy (no corrections) ... -17.9504 eV per atom
Raw formation energy ... 0.0 eV/f.u.



Record 14
A PBEsol-optimized structure of MnCuSe, computed with SCAN.

POSCAR file:
```
MnCuSe
1.0
-2.183 1.258 3.220
0.843 -1.443 3.731
1.708 2.442 2.799
Cu Mn Se
1 1 1
Direct
0.500 0.500 0.500
0.250 0.250 0.250
0.000 0.000 0.000
```

Properties
Volume ... 48 Å³ per cell
Total DFT energy (no corrections) ... -17.9505 eV per atom
Raw formation energy ... -0.3 eV/f.u.



Record 15
A PBEsol-optimized structure of MnCu3Se, computed with SCAN.

POSCAR file:
```
MnCu3Se
1.0
4.472 0.000 0.000
0.000 4.472 0.000
0.000 0.000 4.472
Mn Cu Se
1 3 1
Direct
0.500 0.500 0.500
0.000 0.500 0.000
0.000 0.000 0.500
0.500 0.000 0.000
0.000 0.000 0.000
```

Properties
Volume ... 89 Å³ per cell
Total DFT energy (no corrections) ... -16.1181 eV per atom
Raw formation energy ... 3.3 eV/f.u.



Record 16
A PBEsol-optimized structure of MnCuSe, computed with SCAN.

POSCAR file:
```
MnCuSe
1.0
3.755 0.000 0.000
-1.878 3.252 0.000
0.000 0.000 3.929
Cu Mn Se
1 1 1
Direct
0.000 0.000 0.022
0.333 0.667 0.673
0.667 0.333 0.305
```

Properties
Volume ... 48 Å³ per cell
Total DFT energy (no corrections) ... -17.9944 eV per atom
Raw formation energy ... -0.5 eV/f.u.



Record 17
A PBEsol-optimized structure of MnTlCuSe2, computed with SCAN.

POSCAR file:
```
MnTlCuSe2
1.0
3.953 0.000 0.000
0.000 3.953 0.000
-1.977 -1.977 6.875
Tl Mn Cu Se
1 1 1 2
Direct
0.000 0.000 0.000
0.250 0.750 0.500
0.750 0.250 0.500
0.361 0.361 0.722
0.639 0.639 0.278
```

Properties
Volume ... 107 Å³ per cell
Total DFT energy (no corrections) ... -29.7483 eV per atom
Raw formation energy ... -2.8 eV/f.u.



Record 18
A PBEsol-optimized structure of MnCu2Si, computed with SCAN.

POSCAR file:
```
MnCu2Si
1.0
2.589 0.000 0.000
0.000 4.199 -0.027
-1.295 -1.020 4.270
Cu Mn Si
2 1 1
Direct
0.257 0.253 0.513
0.743 0.747 0.487
0.500 0.000 0.000
0.000 0.500 0.000
```

Properties
Volume ... 46 Å³ per cell
Total DFT energy (no corrections) ... -14.7971 eV per atom
Raw formation energy ... -0.5 eV/f.u.



Record 19
A PBEsol-optimized structure of Mn2CuSi, computed with SCAN.

POSCAR file:
```
Mn2CuSi
1.0
3.655 0.000 0.000
0.000 3.655 0.000
-1.827 -1.827 3.428
Cu Mn Si
1 2 1
Direct
0.000 0.000 0.000
0.750 0.250 0.500
0.250 0.750 0.500
0.500 0.500 0.000
```

Properties
Volume ... 46 Å³ per cell
Total DFT energy (no corrections) ... -15.7296 eV per atom
Raw formation energy ... -1.2 eV/f.u.



Record 20
A PBEsol-optimized structure of Mn2CuSi, computed with SCAN.

POSCAR file:
```
Mn2CuSi
1.0
2.541 0.000 0.000
1.270 2.200 0.000
1.270 0.733 7.919
Cu Mn Si
1 2 1
Direct
0.249 0.249 0.253
0.006 0.006 0.983
0.749 0.749 0.754
0.497 0.497 0.510
```

Properties
Volume ... 44 Å³ per cell
Total DFT energy (no corrections) ... -15.3647 eV per atom
Raw formation energy ... 0.3 eV/f.u.